1.
A geometry-optimized Y2Ho3Hg2 structure, computed with PBE.

Results
energy above the most stable polymorph in this dataset = 0.00 eV per formula unit
Fermi-level density of states = 1.09 states/eV per atom
space group = C2/m, No. 12
formation enthalpy at 0 K = -0.250 eV per atom

a b c (Å): 5.3387 5.3387 8.4919
angles (deg): 108.26 108.26 59.93
Element x y z (fractional)
Y  0.0757  0.0757  0.2273
Y  0.9243  0.9243  0.7727
Ho  0.3425  0.3425  0.0273
Ho  0.5000  0.5000  0.5000
Ho  0.6575  0.6575  0.9727
Hg  0.2135  0.2135  0.6411
Hg  0.7865  0.7865  0.3589

---

2.
A geometry-optimized LaNdDyZr structure, computed with PBE.

Results
Fermi-level density of states = 1.86 states/eV per atom
space group = F-43m, No. 216
formation enthalpy at 0 K = 0.206 eV per atom

a b c (Å): 5.5694 5.5694 5.5694
angles (deg): 60.00 60.00 60.00
Element x y z (fractional)
La  0.0000  0.0000  0.0000
Nd  0.5000  0.5000  0.5000
Dy  0.7500  0.7500  0.7500
Zr  0.2500  0.2500  0.2500

---

3.
A geometry-optimized YZn6Au2 structure, computed with PBE.

Results
Fermi-level density of states = 0.34 states/eV per atom
space group = P4/mmm, No. 123
formation enthalpy at 0 K = -0.297 eV per atom

a b c (Å): 3.8956 3.8956 10.4901
angles (deg): 90.00 90.00 90.00
Element x y z (fractional)
Y  0.0000  0.0000  0.0000
Zn  0.0000  0.0000  0.5000
Zn  0.0000  0.5000  0.3111
Zn  0.0000  0.5000  0.6889
Zn  0.5000  0.0000  0.3111
Zn  0.5000  0.0000  0.6889
Zn  0.5000  0.5000  0.5000
Au  0.5000  0.5000  0.1339
Au  0.5000  0.5000  0.8661

---

4.
A geometry-optimized TlBrO2 structure, computed with PBE.

Results
energy above the most stable polymorph in this dataset = 0.81 eV per formula unit
Fermi-level density of states = 0.00 states/eV per atom
formation energy (no corrections) = -0.14 eV/atom
space group = P2_1/c, No. 14

a b c (Å): 7.9445 4.6370 13.2604
angles (deg): 90.00 120.88 90.00
Element x y z (fractional)
Tl  0.2131  0.2318  0.4215
Tl  0.2131  0.2682  0.9215
Tl  0.7869  0.7318  0.0785
Tl  0.7869  0.7682  0.5785
Br  0.3215  0.7333  0.7396
Br  0.3215  0.7667  0.2396
Br  0.6785  0.2333  0.7604
Br  0.6785  0.2667  0.2604
O  0.1313  0.0079  0.2108
O  0.1313  0.4921  0.7108
O  0.4028  0.6137  0.3783
O  0.4028  0.8863  0.8783
O  0.5972  0.1137  0.1217
O  0.5972  0.3863  0.6217
O  0.8687  0.5079  0.2892
O  0.8687  0.9921  0.7892

---

5.
A geometry-optimized OsRuW structure, computed with PBE.

Results
energy above the most stable polymorph in this dataset = 0.00 eV per formula unit
Fermi-level density of states = 0.99 states/eV per atom
space group = Cmcm, No. 63
formation enthalpy at 0 K = 0.046 eV per atom

a b c (Å): 6.2121 6.2121 3.8934
angles (deg): 90.00 90.00 143.74
Element x y z (fractional)
Os  0.0858  0.9142  0.7500
Os  0.9142  0.0858  0.2500
Ru  0.2503  0.7497  0.2500
Ru  0.7497  0.2503  0.7500
W  0.4115  0.5885  0.7500
W  0.5885  0.4115  0.2500

---

6.
A geometry-optimized KCeTiN3 structure, computed with PBE.

Results
formation energy (no corrections) = -1.03 eV/atom
space group = P2_1/m, No. 11

a b c (Å): 7.5865 3.5537 9.2691
angles (deg): 90.00 96.12 90.00
Element x y z (fractional)
K  0.1513  0.2500  0.1978
K  0.8487  0.7500  0.8022
Ce  0.3813  0.7500  0.8602
Ce  0.6187  0.2500  0.1398
Ti  0.1190  0.2500  0.5788
Ti  0.8810  0.7500  0.4212
N  0.1360  0.7500  0.4834
N  0.1830  0.2500  0.7773
N  0.4253  0.7500  0.1001
N  0.5747  0.2500  0.8999
N  0.8170  0.7500  0.2227
N  0.8640  0.2500  0.5166

---

7.
A geometry-optimized PrPuTeAs structure, computed with PBE.

Results
Fermi-level density of states = 2.91 states/eV per atom
formation energy (no corrections) = -1.31 eV/atom
space group = R3m, No. 160

a b c (Å): 7.6206 7.6206 7.6206
angles (deg): 33.07 33.07 33.07
Element x y z (fractional)
Pr  0.0000  0.0000  0.0000
Pu  0.5162  0.5162  0.5162
Te  0.7615  0.7615  0.7615
As  0.2553  0.2553  0.2553

---

8.
A geometry-optimized Ba2LiSn3 structure, computed with PBE.

Results
Fermi-level density of states = 0.22 states/eV per atom
space group = Fmmm, No. 69
formation enthalpy at 0 K = -0.608 eV per atom

a b c (Å): 9.8103 9.7215 7.0242
angles (deg): 69.60 68.25 42.15
Element x y z (fractional)
Ba  0.2398  0.7602  0.2398
Ba  0.2500  0.2500  0.2500
Ba  0.7500  0.7500  0.7500
Ba  0.7602  0.2398  0.7602
Li  0.3330  0.3330  0.6670
Li  0.6670  0.6670  0.3330
Sn  0.1701  0.1701  0.8299
Sn  0.1728  0.6568  0.8272
Sn  0.3432  0.8272  0.6568
Sn  0.6568  0.1728  0.3432
Sn  0.8272  0.3432  0.1728
Sn  0.8299  0.8299  0.1701

---

9.
A geometry-optimized TeRhBr2 structure, computed with PBE.

Results
Fermi-level density of states = 0.74 states/eV per atom
formation energy (no corrections) = 0.10 eV/atom
space group = R-3m, No. 166

a b c (Å): 10.0024 10.0024 10.0024
angles (deg): 20.44 20.44 20.44
Element x y z (fractional)
Te  0.0000  0.0000  0.0000
Rh  0.5000  0.5000  0.5000
Br  0.2183  0.2183  0.2183
Br  0.7817  0.7817  0.7817

---

10.
A geometry-optimized TiIn2Te4 structure, computed with PBE.

Results
energy above the most stable polymorph in this dataset = 0.41 eV per formula unit
Fermi-level density of states = 0.86 states/eV per atom
formation energy (no corrections) = -0.15 eV/atom
space group = I4/mmm, No. 139

a b c (Å): 8.6735 8.6735 8.6735
angles (deg): 143.20 143.20 53.03
Element x y z (fractional)
Ti  0.0000  0.0000  0.0000
In  0.3726  0.3726  0.0000
In  0.6274  0.6274  0.0000
Te  0.0000  0.5000  0.5000
Te  0.1750  0.1750  0.0000
Te  0.5000  0.0000  0.5000
Te  0.8250  0.8250  0.0000

---

11.
A geometry-optimized RbC3O structure, computed with PBE.

Results
energy above the most stable polymorph in this dataset = 7.31 eV per formula unit
Fermi-level density of states = 6.11 states/eV per atom
formation energy (no corrections) = 4.78 eV/atom
space group = Pm-3m, No. 221

a b c (Å): 5.9238 5.9238 5.9238
angles (deg): 90.00 90.00 90.00
Element x y z (fractional)
Rb  0.0000  0.0000  0.0000
C  0.0000  0.0000  0.5000
C  0.0000  0.5000  0.0000
C  0.5000  0.0000  0.0000
O  0.5000  0.5000  0.5000

---

12.
A geometry-optimized CsI4 structure, computed with PBE.

Results
energy above the most stable polymorph in this dataset = 0.34 eV per formula unit
Fermi-level density of states = 0.35 states/eV per atom
formation energy (no corrections) = -0.59 eV/atom
space group = P2_1/c, No. 14

a b c (Å): 9.3434 9.9027 13.1553
angles (deg): 90.00 93.04 90.00
Element x y z (fractional)
Cs  0.2251  0.1240  0.4289
Cs  0.2251  0.3760  0.9289
Cs  0.7749  0.6240  0.0711
Cs  0.7749  0.8760  0.5711
I  0.0785  0.1403  0.7060
I  0.0785  0.3597  0.2060
I  0.2956  0.7389  0.0393
I  0.2956  0.7611  0.5393
I  0.2984  0.7406  0.7890
I  0.2984  0.7594  0.2890
I  0.3891  0.1801  0.7064
I  0.3891  0.3199  0.2064
I  0.6109  0.6801  0.7936
I  0.6109  0.8199  0.2936
I  0.7016  0.2406  0.7110
I  0.7016  0.2594  0.2110
I  0.7044  0.2389  0.4607
I  0.7044  0.2611  0.9607
I  0.9215  0.6403  0.7940
I  0.9215  0.8597  0.2940

---

13.
A geometry-optimized La5DyAg4 structure, computed with PBE.

Results
Fermi-level density of states = 1.07 states/eV per atom
space group = P4/mmm, No. 123
formation enthalpy at 0 K = -0.195 eV per atom

a b c (Å): 3.7993 3.7993 20.3244
angles (deg): 90.00 90.00 90.00
Element x y z (fractional)
La  0.0000  0.0000  0.0000
La  0.0000  0.0000  0.1912
La  0.0000  0.0000  0.3801
La  0.0000  0.0000  0.6199
La  0.0000  0.0000  0.8088
Dy  0.5000  0.5000  0.5000
Ag  0.5000  0.5000  0.0951
Ag  0.5000  0.5000  0.2876
Ag  0.5000  0.5000  0.7124
Ag  0.5000  0.5000  0.9049

---

14.
A geometry-optimized PuScCd4 structure, computed with PBE.

Results
energy above the most stable polymorph in this dataset = 0.58 eV per formula unit
Fermi-level density of states = 2.13 states/eV per atom
space group = F-43m, No. 216
formation enthalpy at 0 K = -0.067 eV per atom

a b c (Å): 5.8512 5.8512 5.8512
angles (deg): 60.00 60.00 60.00
Element x y z (fractional)
Pu  0.0000  0.0000  0.0000
Sc  0.2500  0.2500  0.2500
Cd  0.1258  0.6247  0.6247
Cd  0.6247  0.1258  0.6247
Cd  0.6247  0.6247  0.1258
Cd  0.6247  0.6247  0.6247

---

15.
A geometry-optimized ScCu2As structure, computed with PBE.

Results
Fermi-level density of states = 0.38 states/eV per atom
space group = P4/mmm, No. 123
formation enthalpy at 0 K = -0.428 eV per atom

a b c (Å): 3.7863 3.7863 4.3641
angles (deg): 90.00 90.00 90.00
Element x y z (fractional)
Sc  0.0000  0.0000  0.0000
Cu  0.0000  0.5000  0.5000
Cu  0.5000  0.0000  0.5000
As  0.5000  0.5000  0.0000

---

16.
A geometry-optimized Fe2Ni2Ru structure, computed with PBE.

Results
energy above the most stable polymorph in this dataset = 0.76 eV per formula unit
Fermi-level density of states = 2.16 states/eV per atom
space group = P4/mbm, No. 127
formation enthalpy at 0 K = 0.373 eV per atom

a b c (Å): 6.6652 6.6652 2.5810
angles (deg): 90.00 90.00 90.00
Element x y z (fractional)
Fe  0.1735  0.3265  0.0000
Fe  0.3265  0.8265  0.0000
Fe  0.6735  0.1735  0.0000
Fe  0.8265  0.6735  0.0000
Ni  0.1247  0.6247  0.5000
Ni  0.3753  0.1247  0.5000
Ni  0.6247  0.8753  0.5000
Ni  0.8753  0.3753  0.5000
Ru  0.0000  0.0000  0.5000
Ru  0.5000  0.5000  0.5000

---

17.
A geometry-optimized Hf2Ta2Fe structure, computed with PBE.

Results
energy above the most stable polymorph in this dataset = 0.00 eV per formula unit
Fermi-level density of states = 0.78 states/eV per atom
space group = P4/mbm, No. 127
formation enthalpy at 0 K = 0.419 eV per atom

a b c (Å): 6.4500 6.4500 4.6378
angles (deg): 90.00 90.00 90.00
Element x y z (fractional)
Hf  0.1594  0.3406  0.0000
Hf  0.3406  0.8406  0.0000
Hf  0.6594  0.1594  0.0000
Hf  0.8406  0.6594  0.0000
Ta  0.1500  0.6500  0.5000
Ta  0.3500  0.1500  0.5000
Ta  0.6500  0.8500  0.5000
Ta  0.8500  0.3500  0.5000
Fe  0.0000  0.0000  0.0000
Fe  0.5000  0.5000  0.0000

---

18.
A geometry-optimized BaCaPH structure, computed with PBE.

Results
energy above the most stable polymorph in this dataset = 0.00 eV per formula unit
Fermi-level density of states = 0.00 states/eV per atom
space group = P6_3mc, No. 186

a b c (Å): 4.7911 4.7911 10.8431
angles (deg): 90.00 90.00 120.00
Element x y z (fractional)
Ba  0.3333  0.6667  0.0000
Ba  0.6667  0.3333  0.5000
Ca  0.0000  0.0000  0.2586
Ca  0.0000  0.0000  0.7586
P  0.3333  0.6667  0.3131
P  0.6667  0.3333  0.8131
H  0.0000  0.0000  0.0454
H  0.0000  0.0000  0.5454

---

19.
A geometry-optimized YScNb4 structure, computed with PBE.

Results
Fermi-level density of states = 2.10 states/eV per atom
space group = F-43m, No. 216
formation enthalpy at 0 K = 0.163 eV per atom

a b c (Å): 5.6657 5.6657 5.6657
angles (deg): 60.00 60.00 60.00
Element x y z (fractional)
Y  0.0000  0.0000  0.0000
Sc  0.7500  0.7500  0.7500
Nb  0.3747  0.3747  0.3747
Nb  0.3747  0.3747  0.8760
Nb  0.3747  0.8760  0.3747
Nb  0.8760  0.3747  0.3747

---

20.
A geometry-optimized BPd2Br structure, computed with PBE.

Results
energy above the most stable polymorph in this dataset = 2.53 eV per formula unit
Fermi-level density of states = 0.22 states/eV per atom
formation energy (no corrections) = 0.80 eV/atom
space group = Fm-3m, No. 225

a b c (Å): 4.3915 4.3915 4.3915
angles (deg): 60.00 60.00 60.00
Element x y z (fractional)
B  0.0000  0.0000  0.0000
Pd  0.2500  0.2500  0.2500
Pd  0.7500  0.7500  0.7500
Br  0.5000  0.5000  0.5000

---

21.
A geometry-optimized Hf2H6Ru structure, computed with PBE.

Results
E_tot = -5.77 eV/atom
Fermi-level density of states = 0.31 states/eV per atom
space group = C2/m, No. 12

a b c (Å): 5.6956 5.6956 3.2514
angles (deg): 106.45 106.45 46.25
Element x y z (fractional)
Hf  0.1643  0.1643  0.1649
Hf  0.8357  0.8357  0.8351
H  0.0943  0.5726  0.3330
H  0.2831  0.7169  0.0000
H  0.4274  0.9057  0.6670
H  0.5726  0.0943  0.3330
H  0.7169  0.2831  0.0000
H  0.9057  0.4274  0.6670
Ru  0.5000  0.5000  0.5000

---

22.
A geometry-optimized TlGe3Pt structure, computed with PBE.

Results
energy above the most stable polymorph in this dataset = 0.00 eV per formula unit
Fermi-level density of states = 0.85 states/eV per atom
space group = Pm-3m, No. 221
formation enthalpy at 0 K = 0.245 eV per atom

a b c (Å): 4.9777 4.9777 4.9777
angles (deg): 90.00 90.00 90.00
Element x y z (fractional)
Tl  0.0000  0.0000  0.0000
Ge  0.0000  0.5000  0.5000
Ge  0.5000  0.0000  0.5000
Ge  0.5000  0.5000  0.0000
Pt  0.5000  0.5000  0.5000

---

23.
A geometry-optimized Sb2PdPtI structure, computed with PBE.

Results
energy above the most stable polymorph in this dataset = 0.00 eV per formula unit
Fermi-level density of states = 0.47 states/eV per atom
formation energy (no corrections) = 0.60 eV/atom
space group = P4/mmm, No. 123

a b c (Å): 5.1909 5.1909 5.5796
angles (deg): 90.00 90.00 90.00
Element x y z (fractional)
Sb  0.0000  0.5000  0.0000
Sb  0.5000  0.0000  0.0000
Pd  0.0000  0.0000  0.5000
Pt  0.5000  0.5000  0.0000
I  0.5000  0.5000  0.5000

---

24.
A geometry-optimized RbTaFeGeTe structure, computed with PBE.

Results
energy above the most stable polymorph in this dataset = 1.07 eV per formula unit
Fermi-level density of states = 0.01 states/eV per atom
formation energy (no corrections) = -0.08 eV/atom
space group = Cm, No. 8

a b c (Å): 4.5057 4.5057 9.3115
angles (deg): 111.99 111.99 46.42
Element x y z (fractional)
Rb  0.0000  0.0000  0.0000
Ta  0.6189  0.6189  0.4323
Fe  0.3583  0.3583  0.5145
Ge  0.8364  0.8364  0.3013
Te  0.1356  0.1356  0.6779

---

| no. | volume (Å³/atom) |
| --- | --- |
| 1 | 27.896 |
| 2 | 30.539 |
| 3 | 17.688 |
| 4 | 26.204 |
| 5 | 14.810 |
| 6 | 20.706 |
| 7 | 29.317 |
| 8 | 34.552 |
| 9 | 26.713 |
| 10 | 33.245 |
| 11 | 41.574 |
| 12 | 60.774 |
| 13 | 29.337 |
| 14 | 23.608 |
| 15 | 15.641 |
| 16 | 11.466 |
| 17 | 19.294 |
| 18 | 26.944 |
| 19 | 21.434 |
| 20 | 14.971 |
| 21 | 8.054 |
| 22 | 24.667 |
| 23 | 30.069 |
| 24 | 25.014 |